DFT (GGA-PBE) results for a geometry-optimized Zn2RhW structure.

For the formation energy from the elements, the calculation gives 8.0 kJ/mol of atoms. As for the density of states at the Fermi level: 4.02 states/eV/f.u. The polymorph energy (0 for the lowest one) comes out at 185.6 meV per atom.

The structure belongs to space group R-3m (No. 166, hexagonal axes); the cell edges are 2.8181, 2.8181 and 25.9139 Å and the angles 90.00°, 90.00° and 120.00°. The inequivalent atoms are Zn at (0.0000, 0.0000, 0.2463), Rh at (0.0000, 0.0000, 0.5000) and W at (0.0000, 0.0000, 0.0000).

DFT (GGA-PBE) results for a geometry-optimized KLaCr2 structure.

For the formation energy from the elements, the calculation gives 58.9 kJ/mol of atoms. As for the density of states at the Fermi level: 2.62 states/eV/f.u. The polymorph energy (0 for the lowest one) comes out at 0.0 meV per atom.

The structure belongs to space group Pm (No. 6); the cell edges are 3.374, 3.373 and 9.772 Å and the angles 90.00°, 90.02° and 90.00°. The inequivalent atoms are K at (0.000, 0.000, 0.000), La at (0.494, 0.500, 0.396), Cr at (0.494, 0.500, 0.705) and Cr at (0.994, 0.000, 0.628).

DFT (GGA-PBE) results for a geometry-optimized LiNd3O4 structure.

As for the density of states at the Fermi level: 1.92 states/eV/f.u. As for the energy relative to the elements, uncorrected: -2.703 eV per atom.

The structure belongs to space group Pm-3m (No. 221); the cell edges are 4.942, 4.942 and 4.942 Å and the angles 90.00°, 90.00° and 90.00°. The inequivalent atoms are Li at (0.000, 0.000, 0.000), Nd at (0.000, 0.500, 0.500), O at (0.000, 0.000, 0.500) and O at (0.500, 0.500, 0.500).

DFT (GGA-PBE) results for a geometry-optimized Nb3OsS6 structure.

As for the density of states at the Fermi level: 6.78 states/eV/f.u. As for the energy relative to the elements, uncorrected: -0.600 eV per atom.

The structure belongs to space group Cmc2_1 (No. 36); the cell edges are 9.856, 12.250 and 5.957 Å and the angles 90.00°, 90.00° and 90.00°. The inequivalent atoms are Nb at (0.000, 0.100, 0.000), Nb at (0.149, 0.385, 0.915), Os at (0.000, 0.285, 0.273), S at (0.000, 0.269, 0.678), S at (0.000, 0.472, 0.213), S at (0.165, 0.031, 0.703) and S at (0.192, 0.211, 0.134).

DFT (GGA-PBE) results for a geometry-optimized Mg3Cu2Se structure.

As for the density of states at the Fermi level: 1.88 states/eV/f.u. As for the energy relative to the elements, uncorrected: -0.158 eV per atom. The polymorph energy (0 for the lowest one) comes out at 108.3 meV per atom.

The structure belongs to space group Cmcm (No. 63); the cell edges are 11.121, 8.990 and 4.695 Å and the angles 90.00°, 90.00° and 90.00°. The inequivalent atoms are Mg at (0.000, 0.091, 0.250), Mg at (0.150, 0.288, 0.750), Cu at (0.204, 0.000, 0.000) and Se at (0.000, 0.369, 0.250).

DFT (GGA-PBE) results for a geometry-optimized Ca2NiAg structure.

For the formation energy from the elements, the calculation gives 6.8 kJ/mol of atoms. As for the density of states at the Fermi level: 2.85 states/eV/f.u.

The structure belongs to space group Pmm2 (No. 25); the cell edges are 3.978, 4.007 and 6.277 Å and the angles 90.00°, 90.00° and 90.00°. The inequivalent atoms are Ca at (0.000, 0.000, 0.000), Ca at (0.500, 0.500, 0.380), Ni at (0.000, 0.000, 0.511) and Ag at (0.500, 0.500, 0.837).

| no. | total DFT energy (no corrections) (eV for the cell shown) |
| --- | --- |
| 1 | -67.6 |
| 2 | -22.8 |
| 3 | -57.7 |
| 4 | -288.8 |
| 5 | -69.6 |
| 6 | -12.4 |